Entry 1:
The following is a PBE calculation of a relaxed NdSm2In3Cu3 crystal, from the Open Quantum Materials Database.

Computed properties:
**V**: 22.21 Å³ per atom
**Total energy**: -4.13 eV per atom
**M_tot**: 0.005 μB/cell

a = 4.021 Å, b = 7.575 Å, c = 7.575 Å
α = 119.97°, β = 90.00°, γ = 90.00°
Fractional coordinates of all 9 atoms:
Cu (0.500, 0.668, 0.332)
Cu (0.500, 0.332, 0.668)
Cu (0.000, 0.999, 0.999)
In (0.500, 0.998, 0.250)
In (0.500, 0.751, 0.751)
In (0.500, 0.250, 0.998)
Nd (0.000, 0.413, 0.413)
Sm (0.000, 0.588, 0.000)
Sm (0.000, 0.000, 0.588)

=====

Entry 2:
The following is a PBE calculation of a relaxed BeZnCuPb crystal, from the Open Quantum Materials Database.

Computed properties:
**V**: 16.63 Å³ per atom
**Total energy**: -2.59 eV per atom
**Polymorph energy (0 for the lowest one)**: 0.000 eV/atom

a = 4.548 Å, b = 4.548 Å, c = 4.548 Å
α = 60.00°, β = 60.00°, γ = 60.00°
Fractional coordinates of all 4 atoms:
Be (0.500, 0.500, 0.500)
Cu (0.000, 0.000, 0.000)
Pb (0.250, 0.250, 0.250)
Zn (0.750, 0.750, 0.750)

=====

Entry 3:
The following is a PBE calculation of a relaxed GaAg crystal, from the Open Quantum Materials Database.

Computed properties:
**V**: 18.80 Å³ per atom
**Total energy**: -2.91 eV per atom

a = 4.483 Å, b = 6.983 Å, c = 7.114 Å
α = 102.28°, β = 108.20°, γ = 108.67°
Fractional coordinates of all 10 atoms:
Ag (0.000, 0.000, 0.000)
Ag (0.011, 0.751, 0.269)
Ag (0.339, 0.231, 0.448)
Ag (0.661, 0.769, 0.552)
Ag (0.989, 0.249, 0.731)
Ga (0.307, 0.463, 0.147)
Ga (0.618, 0.001, 0.235)
Ga (0.000, 0.500, 0.500)
Ga (0.382, 0.999, 0.765)
Ga (0.693, 0.537, 0.853)

=====

Entry 4:
The following is a PBE calculation of a relaxed LuMgScPt crystal, from the Open Quantum Materials Database.

Computed properties:
**V**: 20.46 Å³ per atom
**Total energy**: -5.25 eV per atom
**M_tot**: 0.000 μB/cell
**Polymorph energy (0 for the lowest one)**: 0.000 eV/atom

a = 4.874 Å, b = 4.874 Å, c = 4.874 Å
α = 60.00°, β = 60.00°, γ = 60.00°
Fractional coordinates of all 4 atoms:
Lu (0.500, 0.500, 0.500)
Mg (0.750, 0.750, 0.750)
Pt (0.250, 0.250, 0.250)
Sc (0.000, 0.000, 0.000)

=====

Entry 5:
The following is a PBE calculation of a relaxed Nb2ReAu crystal, from the Open Quantum Materials Database.

Computed properties:
**V**: 17.03 Å³ per atom
**Total energy**: -8.75 eV per atom
**Energy relative to the elements**: 0.218 eV/atom
**M_tot**: 0.001 μB/cell

a = 4.584 Å, b = 4.584 Å, c = 4.584 Å
α = 60.00°, β = 60.00°, γ = 60.00°
Fractional coordinates of all 4 atoms:
Au (0.500, 0.500, 0.500)
Nb (0.000, 0.000, 0.000)
Nb (0.250, 0.250, 0.250)
Re (0.750, 0.750, 0.750)

=====

Entry 6:
The following is a PBE calculation of a relaxed CoCuSiPb crystal, from the Open Quantum Materials Database.

Computed properties:
**V**: 16.20 Å³ per atom
**Total energy**: -4.31 eV per atom
**M_tot**: 0.313 μB/cell
**Polymorph energy (0 for the lowest one)**: 0.195 eV/atom

a = 4.509 Å, b = 4.509 Å, c = 4.509 Å
α = 60.00°, β = 60.00°, γ = 60.00°
Fractional coordinates of all 4 atoms:
Co (0.000, 0.000, 0.000)
Cu (0.750, 0.750, 0.750)
Pb (0.500, 0.500, 0.500)
Si (0.250, 0.250, 0.250)